CoTePbO after structural relaxation. Source: OQMD via LeMat-Bulk, functional PBE with a Hubbard U.

Output
The density is 7.2 g/cm³. The value obtained for the calculated volume is 376 Å³ per cell. The space-group type is P2_12_12_1, No. 19. For the total energy, the calculation gives -0.1723 Ha/atom. The magnetization comes out at 0.750 μB/atom.

Structure (POSCAR):
```
CoTePbO
1.0
6.1271 0.0000 0.0000
0.0000 7.7377 0.0000
0.0000 0.0000 7.9340
Co Te Pb O
4 4 4 4
Direct
0.0257 0.2170 0.0716
0.4743 0.7830 0.5716
0.5257 0.2830 0.9284
0.9743 0.7170 0.4284
0.2029 0.9655 0.2563
0.2971 0.0345 0.7563
0.7029 0.5345 0.7437
0.7971 0.4655 0.2437
0.1294 0.6261 0.9515
0.3706 0.3739 0.4515
0.6294 0.8739 0.0485
0.8706 0.1261 0.5485
0.2335 0.6278 0.5316
0.2665 0.3722 0.0316
0.7335 0.8722 0.4684
0.7665 0.1278 0.9684
```